KBaPbAu (PBE, optimized geometry); size of the total moment = 0.00 μB/cell; total energy = -11.20 eV/cell; space-group type = F-43m, No. 216; energy of formation from the pure elements = -0.30 eV/atom
1.0
0.000 3.944 3.944
3.944 0.000 3.944
3.944 3.944 0.000
K Ba Pb Au
1 1 1 1
direct
0.000 0.000 0.000
0.250 0.250 0.250
0.750 0.750 0.750
0.500 0.500 0.500